#w
The following is a DFT calculation (meta-GGA SCAN) of a PBEsol-optimized structure of TaFeCl2.

Summary:
Its space group is No. 216. The value obtained for the density of states at the Fermi level is 1.5 states/eV/f.u. As for the total magnetization: 1.00 μB per cell.

a = 4.460 Å, b = 4.460 Å, c = 4.460 Å
α = 60.00°, β = 60.00°, γ = 60.00°
Fractional coordinates of all 4 atoms:
Cl1 0.000 0.000 0.000
Cl2 0.750 0.750 0.750
Fe1 0.500 0.500 0.500
Ta1 0.250 0.250 0.250



#x
The following is a DFT calculation (meta-GGA SCAN) of a PBEsol-optimized structure of TaFeCl2.

Summary:
Its space group is No. 6. The value obtained for the density of states at the Fermi level is 1.3 states/eV/f.u. As for the total magnetization: 1.12 μB per cell.

a = 3.077 Å, b = 3.234 Å, c = 7.678 Å
α = 99.69°, β = 90.00°, γ = 90.00°
Fractional coordinates of all 4 atoms:
Cl1 0.000 0.149 0.942
Cl2 0.500 0.803 0.345
Fe1 0.000 0.509 0.527
Ta1 0.500 0.039 0.686



Result of the stability comparison: #x is the most stable of them.



#w
The following is a DFT calculation (meta-GGA SCAN) of a PBEsol-optimized structure of TaFeCl.

Summary:
Its space group is No. 216. The value obtained for the density of states at the Fermi level is 2.8 states/eV/f.u. As for the total magnetization: 2.39 μB per cell.

a = 3.953 Å, b = 3.953 Å, c = 3.953 Å
α = 60.00°, β = 60.00°, γ = 60.00°
Fractional coordinates of all 3 atoms:
Cl1 0.250 0.250 0.250
Fe1 0.000 0.000 0.000
Ta1 0.500 0.500 0.500



#x
The following is a DFT calculation (meta-GGA SCAN) of a PBEsol-optimized structure of TaFeCl.

Summary:
Its space group is No. 42. The value obtained for the density of states at the Fermi level is 1.3 states/eV/f.u. As for the total magnetization: 2.38 μB per cell.

a = 2.937 Å, b = 2.937 Å, c = 6.307 Å
α = 97.90°, β = 97.90°, γ = 114.19°
Fractional coordinates of all 3 atoms:
Cl1 0.003 0.003 0.006
Fe1 0.323 0.323 0.647
Ta1 0.674 0.674 0.347



Result of the stability comparison: #x is the most stable of them.



#w
The following is a DFT calculation (meta-GGA SCAN) of a PBEsol-optimized structure of Ta2FeCl.

Summary:
Its space group is No. 44. The value obtained for the density of states at the Fermi level is 3.1 states/eV/f.u. As for the total magnetization: 0.00 μB per cell.

a = 2.879 Å, b = 4.459 Å, c = 5.240 Å
α = 115.18°, β = 105.95°, γ = 90.00°
Fractional coordinates of all 4 atoms:
Cl1 0.517 0.517 0.035
Fe1 0.233 0.733 0.467
Ta1 0.978 0.978 0.957
Ta2 0.771 0.271 0.542



#x
The following is a DFT calculation (meta-GGA SCAN) of a PBEsol-optimized structure of Ta2FeCl.

Summary:
Its space group is No. 12. The value obtained for the density of states at the Fermi level is 2.4 states/eV/f.u. As for the total magnetization: 1.60 μB per cell.

a = 2.877 Å, b = 4.614 Å, c = 4.614 Å
α = 97.33°, β = 99.55°, γ = 99.55°
Fractional coordinates of all 4 atoms:
Cl1 0.500 0.000 0.000
Fe1 0.500 0.500 0.500
Ta1 0.000 0.500 0.000
Ta2 0.000 0.000 0.500



#y
The following is a DFT calculation (meta-GGA SCAN) of a PBEsol-optimized structure of Ta2FeCl.

Summary:
Its space group is No. 8. The value obtained for the density of states at the Fermi level is 3.0 states/eV/f.u. As for the total magnetization: 1.36 μB per cell.

a = 2.909 Å, b = 4.665 Å, c = 4.690 Å
α = 101.95°, β = 90.00°, γ = 108.17°
Fractional coordinates of all 4 atoms:
Cl1 0.499 0.998 0.557
Fe1 0.746 0.492 0.183
Ta1 0.018 0.037 0.085
Ta2 0.236 0.473 0.674



Result of the stability comparison: #y is the most stable of them.